VASP calculation (GGA+U) on a geometry-optimized Li2PmVO4 structure.

The density of states at the Fermi level comes out at 0.0 states/eV/cell. The total energy comes out at -6.852 eV per atom.

It has space group I-42m (No. 121), with a = 5.3077 Å, b = 5.3077 Å, c = 6.5885 Å, α = 90.00°, β = 90.00° and γ = 90.00°. Symmetry generates all atoms from Li at (0.0000, 0.5000, 0.2500), Pm at (0.0000, 0.0000, 0.0000), V at (0.0000, 0.0000, 0.5000) and O at (0.2192, 0.2192, 0.6571).